Material: YErSnPd
Method: DFT, GGA-PBE
State: optimized geometry

abc: 5.139 5.139 5.139
angles: 60.00 60.00 60.00
Atoms (fractional coordinates):
Pd: 0.500 0.500 0.500
Y: 0.750 0.750 0.750
Sn: 0.000 0.000 0.000
Er: 0.250 0.250 0.250

Calculated values
N(E_F) ... 2.04 states/eV/cell
Calculated formation energy ... -0.756 eV per atom
Symmetry ... F-43m (216)
Magnetization ... 0.0 μB per cell